Density functional theory data (PBE) for an optimized crystal structure of SbRhO4.

E_form (uncorrected)   -6.511 eV per formula unit

CIF file:
```
data_SbRhO4
_cell_length_a 5.196
_cell_length_b 4.650
_cell_length_c 5.688
_cell_angle_alpha 90.00
_cell_angle_beta 90.00
_cell_angle_gamma 90.00
_space_group_name_H-M_alt 'P n c 2'
_space_group_IT_number 30
loop_
_space_group_symop_operation_xyz
'x,y,z'
'-x,-y,z'
'-x,y+1/2,z+1/2'
'x,-y+1/2,z+1/2'
loop_
_atom_site_label
_atom_site_type_symbol
_atom_site_fract_x
_atom_site_fract_y
_atom_site_fract_z
Sb1 Sb 0.000 0.000 0.000
Rh1 Rh 0.500 0.000 0.691
O1 O 0.170 0.233 0.732
O2 O 0.318 0.739 0.440
```